(1)
First-principles (PBE) data for a relaxed structure of MgSc2S4, as listed in the Alexandria database.

Properties
The value obtained for the density of states at the Fermi level is 0.000 states/eV per cell. The value obtained for the total energy is -170.97 eV per cell. The calculation puts the theoretical density at 2.8 Mg/m³. Its offset from the most stable computed form is 77 meV per atom. Its uncorrected formation energy is -1711 meV/atom.

Lattice parameters (Å, degrees): 8.776 8.776 7.537 90.00 90.00 90.00
Space group I-42d (No. 122)
One atom of each set of equivalent atoms:
Mg (0.000, 0.000, 0.000) (multiplicity 4)
Sc (0.228, 0.250, 0.625) (multiplicity 8)
S (0.050, 0.237, 0.358) (multiplicity 16)

(2)
First-principles (PBE) data for a relaxed structure of MgScS3, as listed in the Alexandria database.

Properties
The value obtained for the density of states at the Fermi level is 2.852 states/eV per cell. The value obtained for the total energy is -23.90 eV per cell. The calculation puts the theoretical density at 2.4 Mg/m³. Its offset from the most stable computed form is 571 meV per atom. Its uncorrected formation energy is -717 meV/atom.

Lattice parameters (Å, degrees): 4.887 4.887 4.887 90.00 90.00 90.00
Space group Pm-3m (No. 221)
One atom of each set of equivalent atoms:
Mg (0.000, 0.000, 0.000) (multiplicity 1)
Sc (0.500, 0.500, 0.500) (multiplicity 1)
S (0.000, 0.500, 0.500) (multiplicity 3)

(3)
First-principles (PBE) data for a relaxed structure of Mg6ScS8, as listed in the Alexandria database.

Properties
The value obtained for the density of states at the Fermi level is 21.774 states/eV per cell. The value obtained for the total energy is -278.96 eV per cell. The calculation puts the theoretical density at 2.6 Mg/m³. Its uncorrected formation energy is -1388 meV/atom.

Lattice parameters (Å, degrees): 10.441 10.441 10.441 90.00 90.00 90.00
Space group Fm-3m (No. 225)
One atom of each set of equivalent atoms:
Mg (0.000, 0.250, 0.250) (multiplicity 24)
Sc (0.000, 0.000, 0.000) (multiplicity 4)
S (0.000, 0.000, 0.246) (multiplicity 24)
S (0.250, 0.250, 0.250) (multiplicity 8)

(4)
First-principles (PBE) data for a relaxed structure of Mg3Sc4S8, as listed in the Alexandria database.

Properties
The value obtained for the density of states at the Fermi level is 8.875 states/eV per cell. The value obtained for the total energy is -177.11 eV per cell. The calculation puts the theoretical density at 3.0 Mg/m³. Its uncorrected formation energy is -1695 meV/atom.

Lattice parameters (Å, degrees): 10.409 10.408 7.367 90.00 134.66 90.00
Space group C2/m (No. 12)
One atom of each set of equivalent atoms:
Mg (0.000, 0.000, 0.000) (multiplicity 2)
Mg (0.250, 0.250, 0.000) (multiplicity 4)
Sc (0.000, 0.500, 0.000) (multiplicity 2)
Sc (0.000, 0.500, 0.500) (multiplicity 2)
Sc (0.250, 0.250, 0.500) (multiplicity 4)
S (0.000, 0.248, 0.000) (multiplicity 4)
S (0.000, 0.250, 0.500) (multiplicity 4)
S (0.247, 0.500, 0.993) (multiplicity 4)
S (0.250, 0.000, 0.499) (multiplicity 4)